First-principles (GGA-PBE) data for SrLiFeRe after structural relaxation, as listed in the Open Quantum Materials Database.

Its raw total energy is -5.09 eV/atom. Its total magnetic moment is 0.341 μB per atom. Its calculated density is 8.26 g/cm3. The polymorph energy (0 for the lowest one) comes out at 0.16 eV/f.u.

The space group is F-43m (No. 216) and the conventional cell measures 6.468, 6.468 and 6.468 Å, with angles of 90.00, 90.00 and 90.00 degrees. The inequivalent atoms are Sr at (0.000, 0.000, 0.000), Li at (0.250, 0.250, 0.250), Fe at (0.000, 0.000, 0.500) and Re at (0.250, 0.250, 0.750).

First-principles (GGA-PBE) data for RbNb2 after structural relaxation, as listed in the Open Quantum Materials Database.

Its raw total energy is -5.52 eV/atom. Its total magnetic moment is 0.041 μB per atom. Its calculated density is 5.92 g/cm3.

The space group is Fd-3m (No. 227, origin choice 2) and the conventional cell measures 8.477, 8.477 and 8.477 Å, with angles of 90.00, 90.00 and 90.00 degrees. The inequivalent atoms are Rb at (0.125, 0.125, 0.125) and Nb at (0.000, 0.000, 0.500).

First-principles (GGA-PBE) data for PrSnSbIr2 after structural relaxation, as listed in the Open Quantum Materials Database.

Its raw total energy is -6.73 eV/atom. Its total magnetic moment is 0.001 μB per atom. Its calculated density is 11.65 g/cm3.

The space group is P4/nmm (No. 129, origin choice 2) and the conventional cell measures 4.439, 4.439 and 11.073 Å, with angles of 90.00, 90.00 and 90.00 degrees. The inequivalent atoms are Pr at (0.250, 0.250, 0.250), Sn at (0.250, 0.750, 0.000), Sb at (0.250, 0.250, 0.634), Ir at (0.250, 0.250, 0.865) and Ir at (0.250, 0.750, 0.500).

First-principles (GGA-PBE) data for Sc2NiIr after structural relaxation, as listed in the Open Quantum Materials Database.

Its raw total energy is -7.58 eV/atom. As for the formation energy: -0.809 eV/atom. Its total magnetic moment is 0.001 μB per atom. Its calculated density is 8.61 g/cm3. The polymorph energy (0 for the lowest one) comes out at 0.00 eV/f.u.

The space group is I4/mmm (No. 139) and the conventional cell measures 4.541, 4.541 and 6.374 Å, with angles of 90.00, 90.00 and 90.00 degrees. The inequivalent atoms are Sc at (0.000, 0.500, 0.250), Ni at (0.000, 0.000, 0.000) and Ir at (0.000, 0.000, 0.500).

First-principles (GGA-PBE) data for Er2TmZn3Au3 after structural relaxation, as listed in the Open Quantum Materials Database.

Its raw total energy is -3.72 eV/atom. As for the formation energy: -0.695 eV/atom. Its total magnetic moment is 0.001 μB per atom. Its calculated density is 11.66 g/cm3.

The space group is Amm2 (No. 38) and the conventional cell measures 3.862, 12.832 and 7.415 Å, with angles of 90.00, 90.00 and 90.00 degrees. The inequivalent atoms are Er at (0.000, 0.202, 0.000), Tm at (0.000, 0.000, 0.394), Zn at (0.500, 0.000, 0.053), Zn at (0.500, 0.128, 0.670), Au at (0.000, 0.000, 0.797) and Au at (0.500, 0.166, 0.298).

First-principles (GGA-PBE) data for NdFe2P2 after structural relaxation, as listed in the Open Quantum Materials Database.

Its raw total energy is -7.26 eV/atom. Its total magnetic moment is 0.003 μB per atom. Its calculated density is 6.51 g/cm3.

The space group is P-3m1 (No. 164) and the conventional cell measures 3.7434, 3.7434 and 6.6835 Å, with angles of 90.00, 90.00 and 120.00 degrees. The inequivalent atoms are Nd at (0.0000, 0.0000, 0.0000), Fe at (0.3333, 0.6667, 0.6265) and P at (0.3333, 0.6667, 0.2985).

First-principles (GGA-PBE) data for OsPbAu2 after structural relaxation, as listed in the Open Quantum Materials Database.

Its raw total energy is -4.66 eV/atom. Its total magnetic moment is 0.000 μB per atom. Its calculated density is 17.60 g/cm3.

The space group is F-43m (No. 216) and the conventional cell measures 6.684, 6.684 and 6.684 Å, with angles of 90.00, 90.00 and 90.00 degrees. The inequivalent atoms are Os at (0.000, 0.000, 0.000), Pb at (0.250, 0.250, 0.750), Au at (0.000, 0.000, 0.500) and Au at (0.250, 0.250, 0.250).

First-principles (GGA-PBE) data for DyTm2Al3AgPd2 after structural relaxation, as listed in the Open Quantum Materials Database.

Its raw total energy is -4.93 eV/atom. Its total magnetic moment is 0.004 μB per atom. Its calculated density is 8.32 g/cm3.

The space group is Amm2 (No. 38) and the conventional cell measures 3.850, 12.749 and 7.335 Å, with angles of 90.00, 90.00 and 90.00 degrees. The inequivalent atoms are Dy at (0.000, 0.000, 0.000), Tm at (0.000, 0.207, 0.622), Al at (0.500, 0.000, 0.670), Al at (0.500, 0.128, 0.288), Ag at (0.000, 0.000, 0.416) and Pd at (0.500, 0.168, 0.914).

First-principles (GGA-PBE) data for YFeNiBi after structural relaxation, as listed in the Open Quantum Materials Database.

Its raw total energy is -6.11 eV/atom. Its total magnetic moment is 0.501 μB per atom. Its calculated density is 9.29 g/cm3. The polymorph energy (0 for the lowest one) comes out at 0.00 eV/f.u.

The space group is F-43m (No. 216) and the conventional cell measures 6.655, 6.655 and 6.655 Å, with angles of 90.00, 90.00 and 90.00 degrees. The inequivalent atoms are Y at (0.000, 0.000, 0.000), Fe at (0.250, 0.250, 0.750), Ni at (0.250, 0.250, 0.250) and Bi at (0.000, 0.000, 0.500).

First-principles (GGA-PBE) data for Er2TmGa4Cu after structural relaxation, as listed in the Open Quantum Materials Database.

Its raw total energy is -4.09 eV/atom. Its total magnetic moment is 0.000 μB per atom. Its calculated density is 8.45 g/cm3.

The space group is Amm2 (No. 38) and the conventional cell measures 6.626, 4.393 and 11.420 Å, with angles of 90.00, 90.00 and 90.00 degrees. The inequivalent atoms are Er at (0.000, 0.000, 0.000), Er at (0.500, 0.000, 0.139), Tm at (0.500, 0.000, 0.859), Ga at (0.184, 0.000, 0.688), Ga at (0.291, 0.000, 0.466) and Cu at (0.000, 0.000, 0.284).

First-principles (GGA-PBE) data for PdPbAu after structural relaxation, as listed in the Open Quantum Materials Database.

Its raw total energy is -4.15 eV/atom. Its calculated density is 12.42 g/cm3. The polymorph energy (0 for the lowest one) comes out at 0.00 eV/f.u.

The space group is F-43m (No. 216) and the conventional cell measures 6.487, 6.487 and 6.487 Å, with angles of 90.00, 90.00 and 90.00 degrees. The inequivalent atoms are Pd at (0.000, 0.000, 0.000), Pb at (0.250, 0.250, 0.250) and Au at (0.250, 0.250, 0.750).

First-principles (GGA-PBE) data for RbSm2O4 after structural relaxation, as listed in the Open Quantum Materials Database.

Its raw total energy is -6.88 eV/atom. Its total magnetic moment is 0.143 μB per atom. Its calculated density is 5.48 g/cm3.

The space group is Fd-3m (No. 227, origin choice 2) and the conventional cell measures 10.298, 10.298 and 10.298 Å, with angles of 90.00, 90.00 and 90.00 degrees. The inequivalent atoms are Rb at (0.125, 0.125, 0.125), Sm at (0.000, 0.000, 0.500) and O at (0.024, 0.024, 0.726).